[1]
Entry from Alexandria: a geometry-optimized Ho8Er2Zr structure (PBE).

E above lowest polymorph	0	meV/atom
ΔH_f (0 K)	0.04	eV/atom

Cell: 4.9205 7.8101 9.2221 Å, 104.73 105.47 90.00°
With the nearest neighbours (Å) after each atom.
Atoms (fractional coordinates):
1 Ho 0.5893 0.4448 0.1787  1 Zr 3.42, 8 Ho 3.45-3.58, 3 Er 3.49-3.50
2 Ho 0.3210 0.0896 0.6420  1 Zr 3.43, 8 Ho 3.45-3.59, 3 Er 3.51-3.52
3 Ho 0.1321 0.1758 0.2642  7 Ho 3.37-3.59, 2 Zr 3.43, 3 Er 3.53-3.55
4 Ho 0.0443 0.7364 0.0887  9 Ho 3.37-3.61, 2 Zr 3.43, 1 Er 3.53
5 Ho 0.8679 0.8242 0.7358  7 Ho 3.37-3.59, 2 Zr 3.43, 3 Er 3.53-3.55
6 Ho 0.6790 0.9104 0.3580  1 Zr 3.43, 8 Ho 3.45-3.59, 3 Er 3.51-3.52
7 Ho 0.4107 0.5552 0.8213  1 Zr 3.42, 8 Ho 3.45-3.58, 3 Er 3.49-3.50
8 Ho 0.9557 0.2636 0.9113  9 Ho 3.37-3.61, 2 Zr 3.43, 1 Er 3.53
9 Er 0.2263 0.6345 0.4525  2 Er 3.48, 10 Ho 3.49-3.55
10 Er 0.7737 0.3655 0.5475  2 Er 3.48, 10 Ho 3.49-3.55
11 Zr 0.5000 0.0000 0.0000  12 Ho 3.42-3.43

[2]
Entry from Alexandria: a geometry-optimized Er4I5 structure (PBE).

formation energy from raw total energies	-0.96	eV/atom

Cell: 3.9717 9.6424 10.2167 Å, 104.21 101.21 90.00°
With the nearest neighbours (Å) after each atom.
Atoms (fractional coordinates):
1 Er 0.9992 0.7600 0.9983  4 I 3.04-3.20
2 Er 0.0008 0.2400 0.0017  4 I 3.04-3.20
3 Er 0.5865 0.0441 0.1731  4 I 3.16, 5 Er 3.36-3.48
4 Er 0.4135 0.9559 0.8269  4 I 3.16, 5 Er 3.36-3.48
5 I 0.1571 0.2930 0.3142  3 Er 3.04-3.16
6 I 0.8429 0.7070 0.6858  3 Er 3.04-3.16
7 I 0.1555 0.8659 0.3111  3 Er 3.04-3.16
8 I 0.8444 0.1341 0.6889  3 Er 3.04-3.16
9 I 0.5000 0.5000 0.0000  4 Er 3.20

| no. | magnetization (μB/atom) | mass density (g/cm3) |
| --- | --- | --- |
| 1 | 0.00 | 8.80 |
| 2 | 0.00 | 5.83 |